A plane-wave DFT calculation with PBE was carried out for crystalline NpMnGe2 at its relaxed geometry.

a = 4.103 Å, b = 17.650 Å, c = 4.023 Å
α = 90.00°, β = 90.00°, γ = 90.00°
Space group Cmmm (No. 65)
Unique sites:
Np 0.000 0.143 0.000
Mn 0.000 0.423 0.500
Ge 0.000 0.000 0.500
Ge 0.000 0.290 0.500
Ge 0.000 0.500 0.000

Computed properties:
Formation energy from the elements in eV/atom: -0.11
Density in g/cm³: 10.0
Fermi-level density of states in states/eV/f.u.: 9.7



A plane-wave DFT calculation with PBE was carried out for crystalline NpMnGe2 at its relaxed geometry.

a = 4.426 Å, b = 4.426 Å, c = 3.882 Å
α = 90.00°, β = 90.00°, γ = 90.00°
Space group P4/mmm (No. 123)
Unique sites:
Np 0.000 0.000 0.000
Mn 0.500 0.500 0.000
Ge 0.000 0.500 0.500

Computed properties:
Formation energy from the elements in eV/atom: 0.06
Density in g/cm³: 9.5
Fermi-level density of states in states/eV/f.u.: 8.1



Number 1: energy above the lowest structure with this stoichiometry 67 meV per atom. Number 2: energy above the lowest structure with this stoichiometry 237 meV per atom.